# 1
RbMnIn2Cl8 | PBE | optimized geometry

The space group is R-3. The value obtained for the raw formation energy is -1.1170 eV/atom.

Cell and atoms, written as POSCAR:
```
RbMnIn2Cl8
1.0
6.694 0.000 0.000
3.347 5.797 0.000
3.347 1.932 9.459
Cl In Mn Rb
8 2 1 1
Direct
0.824 0.824 0.529
0.346 0.728 0.845
0.654 0.272 0.155
0.176 0.176 0.471
0.272 0.920 0.155
0.728 0.080 0.845
0.920 0.654 0.155
0.080 0.346 0.845
0.262 0.262 0.213
0.738 0.738 0.787
0.000 0.000 0.000
0.500 0.500 0.500
```

# 2
Cs2TeSeO6 | PBE | optimized geometry

The space group is I4/mmm. The value obtained for the raw formation energy is -0.9642 eV/atom.

Cell and atoms, written as POSCAR:
```
Cs2TeSeO6
1.0
5.614 0.000 0.000
0.000 5.614 0.000
2.807 2.807 5.840
O Cs Se Te
6 2 1 1
Direct
0.840 0.840 0.320
0.742 0.742 0.000
0.258 0.742 0.000
0.160 0.160 0.680
0.258 0.258 0.000
0.742 0.258 0.000
0.250 0.750 0.500
0.750 0.250 0.500
0.500 0.500 0.000
0.000 0.000 0.000
```

# 3
MnBeZnRh | PBE | optimized geometry

The energy of formation is -0.2415 eV per atom. The space group is F-43m.

Cell and atoms, written as POSCAR:
```
MnBeZnRh
1.0
4.115 0.000 0.000
2.057 3.563 0.000
2.057 1.188 3.360
Be Zn Rh Mn
1 1 1 1
Direct
0.500 0.500 0.500
0.000 0.000 0.000
0.250 0.250 0.250
0.750 0.750 0.750
```

# 4
Rb3NiCl7 | PBE | optimized geometry

The space group is P4/mbm. The value obtained for the raw formation energy is -1.2543 eV/atom.

Cell and atoms, written as POSCAR:
```
Rb3NiCl7
1.0
-0.487 -6.167 3.183
7.760 2.159 5.372
-5.750 3.926 6.727
Rb Cl Ni
6 14 2
Direct
0.500 0.823 0.323
0.000 0.000 0.000
0.000 0.500 0.500
0.500 0.177 0.677
0.500 0.323 0.177
0.500 0.677 0.823
0.770 0.885 0.615
0.500 0.500 0.500
0.000 0.835 0.335
0.770 0.615 0.115
0.500 0.000 0.000
0.230 0.385 0.885
0.230 0.615 0.115
0.230 0.885 0.615
0.000 0.335 0.165
0.770 0.385 0.885
0.000 0.665 0.835
0.770 0.115 0.385
0.000 0.165 0.665
0.230 0.115 0.385
0.000 0.500 0.000
0.000 0.000 0.500
```

# 5
SbPtS3 | PBE | optimized geometry

As for the excess energy over the best structure of this formula in the dataset: 0 meV/atom. The space group is Pm-3m. The value obtained for the raw formation energy is 0.3465 eV/atom.

Cell and atoms, written as POSCAR:
```
SbPtS3
1.0
4.712 0.000 0.000
0.000 4.712 0.000
0.000 0.000 4.712
S Pt Sb
3 1 1
Direct
0.000 0.500 0.000
0.500 0.000 0.000
0.000 0.000 0.500
0.000 0.000 0.000
0.500 0.500 0.500
```

# 6
ZrCoS3 | PBE | optimized geometry

As for the excess energy over the best structure of this formula in the dataset: 327 meV/atom. The space group is Pm-3m. The value obtained for the raw formation energy is 0.0605 eV/atom.

Cell and atoms, written as POSCAR:
```
ZrCoS3
1.0
4.957 0.000 0.000
0.000 4.957 0.000
0.000 0.000 4.957
S Co Zr
3 1 1
Direct
0.500 0.000 0.000
0.000 0.000 0.500
0.000 0.500 0.000
0.500 0.500 0.500
0.000 0.000 0.000
```

# 7
Ca3In3Pt2 | PBE | optimized geometry

The energy of formation is -0.7037 eV per atom. The space group is Pnma.

Cell and atoms, written as POSCAR:
```
Ca3In3Pt2
1.0
-0.652 -4.276 4.027
8.084 -0.121 1.180
-1.576 11.514 11.972
Pt Ca In
8 12 12
Direct
0.107 0.885 0.614
0.393 0.385 0.614
0.607 0.615 0.386
0.393 0.385 0.886
0.893 0.115 0.386
0.107 0.885 0.886
0.893 0.115 0.114
0.607 0.615 0.114
0.647 0.330 0.250
0.398 0.964 0.390
0.353 0.670 0.750
0.853 0.830 0.250
0.398 0.964 0.110
0.147 0.170 0.750
0.898 0.536 0.890
0.102 0.464 0.390
0.898 0.536 0.610
0.602 0.036 0.890
0.102 0.464 0.110
0.602 0.036 0.610
0.856 0.835 0.750
0.356 0.665 0.250
0.399 0.680 0.964
0.101 0.180 0.536
0.399 0.680 0.536
0.899 0.820 0.464
0.601 0.320 0.036
0.601 0.320 0.464
0.899 0.820 0.036
0.144 0.165 0.250
0.101 0.180 0.964
0.644 0.335 0.750
```

# 8
Sm3Er2Tm6 | PBE | optimized geometry

As for the excess energy over the best structure of this formula in the dataset: 486 meV/atom. The energy of formation is 0.7693 eV per atom. The space group is R-3m.

Cell and atoms, written as POSCAR:
```
Sm3Er2Tm6
1.0
-1.732 -0.653 -4.096
1.418 -3.444 -2.517
-15.718 -14.108 6.431
Tm Sm Er
6 3 2
Direct
0.369 0.369 0.892
0.895 0.895 0.314
0.105 0.105 0.686
0.827 0.827 0.519
0.173 0.173 0.481
0.631 0.631 0.108
0.000 0.000 0.000
0.262 0.262 0.214
0.738 0.738 0.786
0.468 0.468 0.596
0.532 0.532 0.404
```

# 9
Rb2NaSn2S4 | PBE | optimized geometry

The space group is C2/m. The value obtained for the raw formation energy is -0.7717 eV/atom.

Cell and atoms, written as POSCAR:
```
Rb2NaSn2S4
1.0
5.215 0.000 0.000
-2.608 7.120 0.614
0.000 -1.985 6.970
S Rb Na Sn
4 2 1 2
Direct
0.194 0.388 0.146
0.477 0.954 0.233
0.523 0.046 0.767
0.806 0.612 0.854
0.867 0.735 0.424
0.133 0.265 0.576
0.000 0.000 0.000
0.350 0.700 0.939
0.650 0.300 0.061
```

# 10
DyGa2Cu | PBE | optimized geometry

The energy of formation is -0.3617 eV per atom. The space group is P4/mmm.

Cell and atoms, written as POSCAR:
```
DyGa2Cu
1.0
-0.306 -3.140 2.823
4.169 -0.250 0.174
0.038 2.793 3.110
Dy Cu Ga
1 1 2
Direct
0.500 0.500 0.500
0.500 0.000 0.000
0.000 0.500 0.000
0.000 0.000 0.500
```

# 11
NaSrAcGe | PBE | optimized geometry

The energy of formation is -0.2151 eV per atom. The space group is F-43m.

Cell and atoms, written as POSCAR:
```
NaSrAcGe
1.0
5.663 0.000 0.000
2.832 4.905 0.000
2.832 1.635 4.624
Ge Ac Na Sr
1 1 1 1
Direct
0.250 0.250 0.250
0.000 0.000 0.000
0.750 0.750 0.750
0.500 0.500 0.500
```

# 12
NaMg14Mn | PBE | optimized geometry

As for the excess energy over the best structure of this formula in the dataset: 0 meV/atom. The energy of formation is 0.0697 eV per atom. The space group is P-6m2.

Cell and atoms, written as POSCAR:
```
NaMg14Mn
1.0
3.179 -5.506 0.000
3.179 5.506 0.000
0.000 0.000 10.329
Mn Mg Na
1 14 1
Direct
0.000 0.000 0.000
0.502 0.498 0.000
0.498 0.502 0.500
0.671 0.836 0.762
0.671 0.836 0.238
0.502 0.003 0.000
0.005 0.502 0.500
0.164 0.329 0.762
0.997 0.498 0.000
0.667 0.333 0.746
0.498 0.995 0.500
0.164 0.329 0.238
0.667 0.333 0.254
0.164 0.836 0.762
0.164 0.836 0.238
0.000 0.000 0.500
```

no.,DFT total energy (eV per atom)
1,-3.65
2,-4.77
3,-5.62
4,-3.22
5,-4.16
6,-5.55
7,-3.99
8,-3.79
9,-3.86
10,-4.05
11,-3.15
12,-1.98